A geometry-optimized LaTbPmN3 structure, computed with PBE.

E_form (uncorrected) (eV/atom): -1.346
Magnetization (μB per formula unit): 0.0

Cell: 6.198 3.612 9.300 Å, 90.00 101.72 90.00°
Element x y z (fractional)
La 0.151 0.250 0.197
La 0.849 0.750 0.803
Tb 0.353 0.250 0.861
Tb 0.647 0.750 0.139
Pm 0.271 0.750 0.545
Pm 0.729 0.250 0.455
N 0.037 0.250 0.675
N 0.257 0.750 0.987
N 0.470 0.750 0.346
N 0.530 0.250 0.654
N 0.743 0.250 0.013
N 0.963 0.750 0.325

A geometry-optimized YFe10W2 structure, computed with PBE.

DOS at the Fermi energy (states/eV per cell): 12.15
Magnetization (μB per formula unit): 18.5
Energy relative to the elements (kJ/mol of atoms): -0.1

Cell: 6.511 6.511 6.511 Å, 137.60 98.07 96.96°
Element x y z (fractional)
Y 0.000 0.000 0.000
Fe 0.000 0.000 0.500
Fe 0.000 0.500 0.000
Fe 0.222 0.500 0.722
Fe 0.226 0.726 0.500
Fe 0.359 0.000 0.359
Fe 0.500 0.000 0.000
Fe 0.500 0.500 0.500
Fe 0.641 0.000 0.641
Fe 0.774 0.274 0.500
Fe 0.778 0.500 0.278
W 0.355 0.355 0.000
W 0.645 0.645 0.000

A geometry-optimized Ta2TcAs structure, computed with PBE.

DOS at the Fermi energy (states/eV per cell): 1.63
Magnetization (μB per formula unit): 0.0
Energy relative to the elements (kJ/mol of atoms): -16.8

Cell: 3.217 3.310 6.336 Å, 90.00 97.99 90.00°
Element x y z (fractional)
Ta 0.041 0.000 0.248
Ta 0.959 0.000 0.752
Tc 0.500 0.500 0.000
As 0.500 0.500 0.500

A geometry-optimized BC2 structure, computed with PBE.

DOS at the Fermi energy (states/eV per cell): 1.44
Magnetization (μB per formula unit): 0.0
E above lowest polymorph (meV/atom): 132
Energy relative to the elements (kJ/mol of atoms): 35.9

Cell: 6.066 6.066 5.298 Å, 103.58 103.58 24.03°
Element x y z (fractional)
B 0.000 0.000 0.000
B 0.313 0.313 0.630
B 0.584 0.584 0.495
B 0.911 0.911 0.617
C 0.238 0.238 0.843
C 0.242 0.242 0.316
C 0.322 0.322 0.120
C 0.583 0.583 0.000
C 0.659 0.659 0.800
C 0.666 0.666 0.284
C 0.901 0.901 0.158
C 0.991 0.991 0.435

A geometry-optimized Tl2CdTc structure, computed with PBE.

DOS at the Fermi energy (states/eV per cell): 2.31
Magnetization (μB per formula unit): 1.7
E above lowest polymorph (meV/atom): 186
Energy relative to the elements (kJ/mol of atoms): 61.5

Cell: 5.895 5.895 3.220 Å, 105.77 105.77 114.05°
Element x y z (fractional)
Tl 0.000 0.500 0.000
Tl 0.500 0.000 0.000
Cd 0.000 0.000 0.500
Tc 0.500 0.500 0.500

A geometry-optimized KTl2Cu2I6 structure, computed with PBE.

DOS at the Fermi energy (states/eV per cell): 5.71
E_form (uncorrected) (eV/atom): -0.528
Magnetization (μB per formula unit): 0.0

Cell: 7.219 7.219 10.576 Å, 106.35 106.35 68.01°
Element x y z (fractional)
K 0.000 0.000 0.000
Tl 0.184 0.184 0.640
Tl 0.816 0.816 0.360
Cu 0.468 0.468 0.198
Cu 0.532 0.532 0.802
I 0.172 0.693 0.684
I 0.290 0.290 0.992
I 0.307 0.828 0.316
I 0.693 0.172 0.684
I 0.710 0.710 0.008
I 0.828 0.307 0.316

Q: Which formula does entry 2 have?
A: YFe10W2

Q: Look up the magnetization of the third one.
A: 0.0 μB per formula unit